1.
Material: AgWAu
Method: DFT, PBE
State: optimized geometry

## Properties
Density of states at the Fermi level = 1.13 states/eV per atom
E = -17.1 eV/f.u.
Distance to the lowest polymorph of the same formula = 0.257 eV/atom

Unit cell a=5.0097 b=5.0097 c=5.0097 alpha=148.02 beta=129.53 gamma=61.00
Last column: nearest neighbours and their distance in Å.
Atoms (fractional coordinates):
Ag1 0.0018 0.0018 0.0000  2 Ag 2.76, 5 Au 2.84-2.94, 5 W 2.89-2.92
Au1 0.3306 0.3306 0.0000  2 Au 2.76, 5 Ag 2.84-2.94, 5 W 2.91
W1 0.6676 0.6676 0.0000  2 W 2.76, 5 Ag 2.89-2.92, 5 Au 2.91

=====

2.
Material: AcPuIr
Method: DFT, PBE
State: optimized geometry

## Properties
Density of states at the Fermi level = 4.16 states/eV per atom
E = -28.1 eV/f.u.
Distance to the lowest polymorph of the same formula = 0.137 eV/atom

Unit cell a=5.0219 b=5.0219 c=5.0219 alpha=60.00 beta=60.00 gamma=60.00
Last column: nearest neighbours and their distance in Å.
Atoms (fractional coordinates):
Ac1 0.5000 0.5000 0.5000  4 Ir 3.08
Ir1 0.2500 0.2500 0.2500  4 Ac 3.08, 4 Pu 3.08
Pu1 0.0000 0.0000 0.0000  4 Ir 3.08

=====

3.
Material: Li5Sn4Pb
Method: DFT, PBE
State: optimized geometry

## Properties
Density of states at the Fermi level = 0.31 states/eV per atom
E = -32.3 eV/f.u.

Unit cell a=3.4763 b=3.4763 c=17.2210 alpha=90.00 beta=90.00 gamma=90.00
Last column: nearest neighbours and their distance in Å.
Atoms (fractional coordinates):
Li1 0.5000 0.5000 0.5000  8 Sn 2.98
Sn1 0.0000 0.0000 0.7942  8 Li 2.98-2.99
Pb1 0.0000 0.0000 0.0000  8 Li 3.08
Li2 0.5000 0.5000 0.3043  8 Sn 2.98-2.99
Sn2 0.0000 0.0000 0.2058  8 Li 2.98-2.99
Li3 0.5000 0.5000 0.1081  4 Sn 2.98, 4 Pb 3.08
Li4 0.5000 0.5000 0.6957  8 Sn 2.98-2.99
Sn3 0.0000 0.0000 0.4020  8 Li 2.98
Li5 0.5000 0.5000 0.8919  4 Sn 2.98, 4 Pb 3.08
Sn4 0.0000 0.0000 0.5980  8 Li 2.98